Compound: CsFeTeO4
Source: Alexandria
Functional: PBE with a Hubbard U
Structure: relaxed

Cell: 7.3870 6.1481 7.8049 Å, 90.00 114.94 90.00°
Closest atoms and distances in Å follow each position.
Space group P2_1/m (No. 11)
Unique sites:
Cs  0.2054  0.2500  0.4978  4 O 3.01-3.16
Fe  0.4779  0.2500  0.1791  4 O 1.87-1.93
Te  0.2818  0.7500  0.0459  3 O 1.94-1.98
O  0.2465  0.7500  0.7505  1 Fe 1.87
O  0.3476  0.5011  0.2225  1 Fe 1.92, 1 Te 1.98
O  0.4424  0.2500  0.9197  1 Fe 1.93, 1 Te 1.94

total DFT energy (no corrections): -5.5082 eV per atom